This record from Alexandria via LeMat-Bulk describes NaScP2Cl after structural relaxation. The functional is PBE.

For the polymorph energy (0 for the lowest one), the calculation gives 0.0 meV/atom. As for the total DFT energy (no corrections): -4.53 eV/atom. The density of states at the Fermi level is 0.584 states/eV/atom. The uncorrected formation energy is -0.462 eV/atom. The symmetry is P4/mmm.

Lattice parameters (Å, degrees): 5.0136 5.0136 5.1867 90.00 90.00 90.00
Last column: magnetic moment on the atom in μB.
Positions (direct):
Sc1 0.0000 0.0000 0.0000  0.00
P1 0.0000 0.5000 0.0000  0.19
P2 0.5000 0.0000 0.0000  0.19
Na1 0.5000 0.5000 0.5000  0.00
Cl1 0.0000 0.0000 0.5000  0.10